Entry 1:
## LaTcNiAs2 (PBE)

Data for an optimized crystal structure of LaTcNiAs2.

a b c (Å): 3.978 3.978 6.643
angles (deg): 107.42 107.42 90.00
Element x y z (fractional)
La 0.000 0.000 0.000
As 0.635 0.635 0.270
Ni 0.250 0.750 0.500
As 0.365 0.365 0.730
Tc 0.750 0.250 0.500

Computed properties:
The value obtained for the magnetic moment is 0.0 μB per formula unit. The calculation puts the formation enthalpy at 0 K at -347 kJ/mol of formula units. For the distance to the lowest polymorph of the same formula, the calculation gives 0.00 eV/f.u. As for the theoretical density: 7.767 g cm⁻³.



Entry 2:
## Bi2C2F (PBE)

Data for an optimized crystal structure of Bi2C2F.

a b c (Å): 7.372 7.372 3.640
angles (deg): 90.00 90.00 90.00
Element x y z (fractional)
C 0.935 0.435 0.500
F 0.500 0.500 0.000
C 0.435 0.065 0.500
Bi 0.703 0.797 0.000
Bi 0.797 0.297 0.000
Bi 0.297 0.203 0.000
C 0.065 0.565 0.500
F 0.000 0.000 0.000
Bi 0.203 0.703 0.000
C 0.565 0.935 0.500

Computed properties:
The value obtained for the magnetic moment is 0.0 μB per formula unit. For the distance to the lowest polymorph of the same formula, the calculation gives 0.00 eV/f.u. The value obtained for the raw formation energy is 0.29 eV per atom. As for the theoretical density: 7.739 g cm⁻³.



Entry 3:
## Pu8Ge4As3 (PBE)

Data for an optimized crystal structure of Pu8Ge4As3.

a b c (Å): 8.223 8.226 8.226
angles (deg): 90.02 119.94 119.94
Each line ends with the local moment (μB).
Element x y z (fractional)
Ge 0.500 0.000 0.000  -0.02
As 0.500 0.500 0.500  0.04
Ge 0.000 0.500 0.000  -0.01
Pu 0.500 0.748 0.252  -5.06
As 0.500 0.000 0.500  -0.05
Ge 0.000 0.000 0.500  -0.01
Pu 0.484 0.742 0.742  5.18
Ge 0.000 0.000 0.000  0.01
As 0.500 0.500 0.000  -0.05
Pu 0.516 0.258 0.258  5.18
Pu 0.000 0.259 0.741  5.20
Pu 0.500 0.252 0.748  -5.06
Pu 0.996 0.745 0.745  -5.19
Pu 0.004 0.255 0.255  -5.19
Pu 0.000 0.741 0.259  5.20

Computed properties:
The value obtained for the magnetic moment is 0.3 μB per formula unit. The calculation puts the formation enthalpy at 0 K at -606 kJ/mol of formula units. As for the theoretical density: 10.395 g cm⁻³.



Entry 4:
## YZn4Cu (PBE)

Data for an optimized crystal structure of YZn4Cu.

a b c (Å): 3.929 6.886 7.588
angles (deg): 90.00 90.00 90.00
Element x y z (fractional)
Y 0.000 0.620 0.750
Y 0.000 0.380 0.250
Zn 0.000 0.000 0.500
Cu 0.000 0.790 0.250
Zn 0.500 0.309 0.556
Zn 0.500 0.691 0.444
Zn 0.000 0.000 0.000
Zn 0.500 0.309 0.944
Zn 0.500 0.691 0.056
Zn 0.500 0.950 0.750
Zn 0.500 0.050 0.250
Cu 0.000 0.210 0.750

Computed properties:
The value obtained for the magnetic moment is 0.0 μB per formula unit. The calculation puts the formation enthalpy at 0 K at -148 kJ/mol of formula units. For the distance to the lowest polymorph of the same formula, the calculation gives 0.00 eV/f.u. As for the theoretical density: 6.699 g cm⁻³.



Q: Among the records above, which one has the lowest theoretical density?
A: YZn4Cu



Q: The highest magnetic moment belongs to which entry?
A: Pu8Ge4As3